Below is a relaxed MgTeI2N crystal, with properties calculated at the GGA-PBE level.

Structure (POSCAR):
```
MgTeI2N
1.0
-3.805 -1.794 3.981
4.166 0.089 4.022
-1.251 5.270 1.179
I Mg Te N
2 1 1 1
direct
0.000 0.500 0.000 I
0.500 0.000 0.000 I
0.000 0.000 0.000 Mg
0.000 0.000 0.500 Te
0.500 0.500 0.500 N
```

## Properties
Space group ... P4/mmm
Polymorph energy (0 for the lowest one) ... 333.1 meV per atom
ΔE_f (raw) ... 0.874 eV per atom
Total DFT energy (no corrections) ... -0.0867 Ha/atom